# Gd4CdIr | OQMD via LeMat-Bulk | GGA-PBE | relaxed
data_Gd4CdIr
_cell_length_a 13.717
_cell_length_b 13.717
_cell_length_c 13.717
_cell_angle_alpha 90.00
_cell_angle_beta 90.00
_cell_angle_gamma 90.00
_space_group_name_H-M_alt 'F -4 3 m'
_space_group_IT_number 216
_space_group_name_Hall 'F -4 2 3'
loop_
_atom_site_label
_atom_site_type_symbol
_atom_site_fract_x
_atom_site_fract_y
_atom_site_fract_z
_atom_site_occupancy
Gd1 Gd 0.000 0.000 0.188 1
Gd2 Gd 0.060 0.250 0.750 1
Gd3 Gd 0.099 0.099 0.401 1
Cd1 Cd 0.169 0.169 0.169 1
Ir1 Ir 0.108 0.108 0.608 1
# energy of formation	-510	meV/atom

---

# Gd3Mg3Cd2Ir | OQMD via LeMat-Bulk | GGA-PBE | relaxed
data_Gd3Mg3Cd2Ir
_cell_length_a 7.5432
_cell_length_b 7.5432
_cell_length_c 4.4320
_cell_angle_alpha 90.00
_cell_angle_beta 90.00
_cell_angle_gamma 120.00
_space_group_name_H-M_alt 'P -6 2 m'
_space_group_IT_number 189
_space_group_name_Hall 'P -6 -2'
loop_
_atom_site_label
_atom_site_type_symbol
_atom_site_fract_x
_atom_site_fract_y
_atom_site_fract_z
_atom_site_occupancy
Gd1 Gd 0.0000 0.3853 0.0000 1
Mg1 Mg 0.0000 0.7706 0.5000 1
Cd1 Cd 0.3333 0.6667 0.5000 1
Ir1 Ir 0.0000 0.0000 0.0000 1
# E_tot	-3.60	eV per atom

---

# Gd3Mg3CdIr2 | OQMD via LeMat-Bulk | GGA-PBE | relaxed
data_Gd3Mg3CdIr2
_cell_length_a 7.4826
_cell_length_b 7.4826
_cell_length_c 4.1202
_cell_angle_alpha 90.00
_cell_angle_beta 90.00
_cell_angle_gamma 120.00
_space_group_name_H-M_alt 'P -6 2 m'
_space_group_IT_number 189
_space_group_name_Hall 'P -6 -2'
loop_
_atom_site_label
_atom_site_type_symbol
_atom_site_fract_x
_atom_site_fract_y
_atom_site_fract_z
_atom_site_occupancy
Gd1 Gd 0.0000 0.4253 0.0000 1
Mg1 Mg 0.0000 0.7417 0.5000 1
Cd1 Cd 0.0000 0.0000 0.0000 1
Ir1 Ir 0.3333 0.6667 0.5000 1
# E_tot	-4.63	eV per atom

---

# Nd2GdCd3Ir2Pt | OQMD via LeMat-Bulk | GGA-PBE | relaxed
data_Nd2GdCd3Ir2Pt
_cell_length_a 4.037
_cell_length_b 13.111
_cell_length_c 7.586
_cell_angle_alpha 90.00
_cell_angle_beta 90.00
_cell_angle_gamma 90.00
_space_group_name_H-M_alt 'A m m 2'
_space_group_IT_number 38
_space_group_name_Hall 'A 2 -2'
loop_
_atom_site_label
_atom_site_type_symbol
_atom_site_fract_x
_atom_site_fract_y
_atom_site_fract_z
_atom_site_occupancy
Nd1 Nd 0.000 0.205 0.000 1
Gd1 Gd 0.000 0.000 0.612 1
Cd1 Cd 0.500 0.000 0.950 1
Cd2 Cd 0.500 0.127 0.333 1
Ir1 Ir 0.500 0.164 0.703 1
Pt1 Pt 0.000 0.000 0.209 1
# energy of formation	-634	meV/atom

---

# Pr2GdCd3Ir2Pt | OQMD via LeMat-Bulk | GGA-PBE | relaxed
data_Pr2GdCd3Ir2Pt
_cell_length_a 4.056
_cell_length_b 13.145
_cell_length_c 7.608
_cell_angle_alpha 90.00
_cell_angle_beta 90.00
_cell_angle_gamma 90.00
_space_group_name_H-M_alt 'A m m 2'
_space_group_IT_number 38
_space_group_name_Hall 'A 2 -2'
loop_
_atom_site_label
_atom_site_type_symbol
_atom_site_fract_x
_atom_site_fract_y
_atom_site_fract_z
_atom_site_occupancy
Pr1 Pr 0.000 0.205 0.000 1
Gd1 Gd 0.000 0.000 0.613 1
Cd1 Cd 0.500 0.000 0.951 1
Cd2 Cd 0.500 0.127 0.333 1
Ir1 Ir 0.500 0.163 0.703 1
Pt1 Pt 0.000 0.000 0.210 1
# energy of formation	-624	meV/atom

---

# KGdCd | OQMD via LeMat-Bulk | GGA-PBE | relaxed
data_KGdCd
_cell_length_a 7.515
_cell_length_b 7.515
_cell_length_c 7.515
_cell_angle_alpha 90.00
_cell_angle_beta 90.00
_cell_angle_gamma 90.00
_space_group_name_H-M_alt 'F -4 3 m'
_space_group_IT_number 216
_space_group_name_Hall 'F -4 2 3'
loop_
_atom_site_label
_atom_site_type_symbol
_atom_site_fract_x
_atom_site_fract_y
_atom_site_fract_z
_atom_site_occupancy
K1 K 0.000 0.000 0.000 1
Gd1 Gd 0.250 0.250 0.250 1
Cd1 Cd 0.250 0.250 0.750 1
# E_tot	-1.37	eV per atom